Computed, not measured: Sm2PaSe after structural relaxation at the GGA-PBE level of DFT.

The structure belongs to space group R-3m (No. 166, hexagonal axes); the cell edges are 3.6852, 3.6852 and 28.4272 Å and the angles 90.00°, 90.00° and 120.00°. The inequivalent atoms are Sm at (0.0000, 0.0000, 0.2379), Pa at (0.0000, 0.0000, 0.0000) and Se at (0.0000, 0.0000, 0.5000).

Its uncorrected energy is -0.229 Ha/atom. For the energy relative to the elements, uncorrected, the calculation gives -0.62 eV/atom. Its total magnetization is 0.0 μB/f.u.